No. 1
The following is a PBE calculation of LiPrSnAu after structural relaxation, from the Alexandria database.

```
4
Lattice="0.000 3.628 3.628 3.628 0.000 3.628 3.628 3.628 0.000" Properties=species:S:1:pos:R:3 pbc="T T T"
Li 0.000 0.000 0.000
Pr 3.628 3.628 3.628
Sn 1.814 1.814 1.814
Au 5.442 5.442 5.442
```

Results
**Total magnetic moment**: 0.0 Bohr magnetons per cell
**Fermi-level density of states**: 0.539 states/eV/atom
**Calculated volume**: 95.50 Å³ per cell
**DFT formation energy**: -0.5939 eV per atom

No. 2
The following is a PBE calculation of CaHfSb2 after structural relaxation, from the Alexandria database.

```
4
Lattice="0.000 3.700 3.700 3.700 0.000 3.700 3.700 3.700 0.000" Properties=species:S:1:pos:R:3 pbc="T T T"
Ca 0.000 0.000 0.000
Hf 3.700 3.700 3.700
Sb 1.850 1.850 1.850
Sb 5.550 5.550 5.550
```

Results
**Total magnetic moment**: 0.0 Bohr magnetons per cell
**Fermi-level density of states**: 0.638 states/eV/atom
**Calculated volume**: 101.32 Å³ per cell
**Uncorrected formation energy**: -0.385 eV per atom

No. 3
The following is a PBE calculation of PrHoCoI after structural relaxation, from the Alexandria database.

```
4
Lattice="2.000 1.155 8.043 -2.000 1.155 8.043 0.000 -2.310 8.043" Properties=species:S:1:pos:R:3 pbc="T T T"
Pr 0.000 0.000 0.000
Ho 0.000 0.000 5.143
Co 0.000 0.000 14.577
I 0.000 0.000 18.764
```

Results
**Total magnetic moment**: 0.0 Bohr magnetons per cell
**Fermi-level density of states**: 0.198 states/eV/atom
**Calculated volume**: 111.49 Å³ per cell
**Uncorrected formation energy**: -0.560 eV per atom